This record from Alexandria via LeMat-Bulk describes a geometry-optimized CeHoInCu structure. The functional is PBE-GGA.

```
4
Lattice="5.215 0.000 0.000 2.608 4.517 0.000 2.608 1.506 4.258" Properties=species:S:1:pos:R:3 pbc="T T T"
Cu 7.823 4.517 3.194
Ho 0.000 0.000 0.000
Ce 5.215 3.011 2.129
In 2.608 1.506 1.065
```

Properties
The final energy comes out at -4.53 eV/atom. The value obtained for the density of states at the Fermi level is 9.78 states/eV per cell.

=====

This record from Alexandria via LeMat-Bulk describes a geometry-optimized CeHoCuNi structure. The functional is PBE-GGA.

```
4
Lattice="4.870 0.000 0.000 2.435 4.217 0.000 2.435 1.406 3.976" Properties=species:S:1:pos:R:3 pbc="T T T"
Ni 7.305 4.217 2.982
Cu 2.435 1.406 0.994
Ho 0.000 0.000 0.000
Ce 4.870 2.812 1.988
```

Properties
The final energy comes out at -5.32 eV/atom. The value obtained for the density of states at the Fermi level is 5.87 states/eV per cell.

=====

This record from Alexandria via LeMat-Bulk describes a geometry-optimized CeHoCuOs structure. The functional is PBE-GGA.

```
4
Lattice="4.884 0.000 0.000 2.442 4.230 0.000 2.442 1.410 3.988" Properties=species:S:1:pos:R:3 pbc="T T T"
Cu 0.000 0.000 0.000
Os 4.884 2.820 1.994
Ho 7.326 4.230 2.991
Ce 2.442 1.410 0.997
```

Properties
The final energy comes out at -6.65 eV/atom. The value obtained for the density of states at the Fermi level is 5.50 states/eV per cell.

=====

This record from Alexandria via LeMat-Bulk describes a geometry-optimized CeHoCuPd structure. The functional is PBE-GGA.

```
4
Lattice="4.990 0.000 0.000 2.495 4.321 0.000 2.495 1.440 4.074" Properties=species:S:1:pos:R:3 pbc="T T T"
Pd 7.485 4.321 3.056
Ho 4.990 2.881 2.037
Ce 0.000 0.000 0.000
Cu 2.495 1.440 1.019
```

Properties
The final energy comes out at -5.39 eV/atom. The value obtained for the density of states at the Fermi level is 6.96 states/eV per cell.

=====

This record from Alexandria via LeMat-Bulk describes a geometry-optimized CeHoCuPt structure. The functional is PBE-GGA.

```
4
Lattice="3.759 0.000 0.000 0.000 4.527 0.000 -1.879 0.000 5.267" Properties=species:S:1:pos:R:3 pbc="T T T"
Ce 1.879 2.264 3.803
Ho 0.000 0.000 1.459
Cu 0.000 0.000 4.423
Pt 1.879 2.264 0.849
```

Properties
The final energy comes out at -5.85 eV/atom. The value obtained for the density of states at the Fermi level is 6.76 states/eV per cell. The offset from the most stable computed form is 0 meV per atom.

=====

This record from Alexandria via LeMat-Bulk describes a geometry-optimized CeHoCuPt structure. The functional is PBE-GGA.

```
4
Lattice="4.976 0.000 0.000 2.488 4.309 0.000 2.488 1.436 4.063" Properties=species:S:1:pos:R:3 pbc="T T T"
Ce 0.000 0.000 0.000
Ho 4.976 2.873 2.031
Pt 7.464 4.309 3.047
Cu 2.488 1.436 1.016
```

Properties
The final energy comes out at -5.80 eV/atom. The value obtained for the density of states at the Fermi level is 6.72 states/eV per cell. The offset from the most stable computed form is 52 meV per atom.